Entry 1:
A relaxed KCo2Ag crystal. Source: Alexandria via LeMat-Bulk, functional GGA-PBE.

Results
The value obtained for the density of states at the Fermi level is 3.4 states/eV per cell. As for the energy of formation from the pure elements: 1004 meV per atom. The value obtained for the total magnetization is 3.43 μB/f.u. Its total energy is -3.54 eV/atom.

Lattice parameters (Å, degrees): 2.716 5.038 5.272 90.00 90.00 90.00
Space group Pmmm (No. 47)
Unique sites:
1 K 0.000 0.000 0.000 x1
2 Co 0.000 0.500 0.500 x1
3 Co 0.500 0.000 0.500 x1
4 Ag 0.500 0.500 0.000 x1

***

Entry 2:
A relaxed KCoAg2 crystal. Source: Alexandria via LeMat-Bulk, functional GGA-PBE.

Results
The value obtained for the density of states at the Fermi level is 7.8 states/eV per cell. As for the energy of formation from the pure elements: 791 meV per atom. The value obtained for the total magnetization is 1.79 μB/f.u. Its total energy is -2.69 eV/atom.

Lattice parameters (Å, degrees): 4.552 4.552 8.257 90.00 90.00 90.00
Space group I4/mmm (No. 139)
Unique sites:
1 K 0.000 0.000 0.000 x2
2 Co 0.000 0.000 0.500 x2
3 Ag 0.000 0.500 0.250 x4

***

Entry 3:
A relaxed KCoAg crystal. Source: Alexandria via LeMat-Bulk, functional GGA-PBE.

Results
The value obtained for the density of states at the Fermi level is 6.6 states/eV per cell. As for the energy of formation from the pure elements: 882 meV per atom. The value obtained for the total magnetization is 1.68 μB/f.u. Its total energy is -2.80 eV/atom.

Lattice parameters (Å, degrees): 5.1589 5.1589 2.8285 90.00 90.00 120.00
Space group P3m1 (No. 156)
Unique sites:
1 K 0.0000 0.0000 0.0000 x1
2 Co 0.3333 0.6667 0.5015 x1
3 Ag 0.6667 0.3333 0.4996 x1

***

Entry 4:
A relaxed K2CoAg crystal. Source: Alexandria via LeMat-Bulk, functional GGA-PBE.

Results
The value obtained for the density of states at the Fermi level is 6.8 states/eV per cell. As for the energy of formation from the pure elements: 806 meV per atom. The value obtained for the total magnetization is 1.50 μB/f.u. Its total energy is -2.23 eV/atom.

Lattice parameters (Å, degrees): 8.884 2.903 9.257 90.00 92.53 90.00
Space group C2/m (No. 12)
Unique sites:
1 K 0.249 0.000 0.240 x4
2 Co 0.000 0.500 0.000 x2
3 Ag 0.000 0.000 0.500 x2

***

Entry 5:
A relaxed K2Co2Ag crystal. Source: Alexandria via LeMat-Bulk, functional GGA-PBE.

Results
The value obtained for the density of states at the Fermi level is 11.7 states/eV per cell. As for the energy of formation from the pure elements: 904 meV per atom. The value obtained for the total magnetization is 3.59 μB/f.u. Its total energy is -2.95 eV/atom.

Lattice parameters (Å, degrees): 6.436 6.436 7.327 90.00 90.00 90.00
Space group I4/mmm (No. 139)
Unique sites:
1 K 0.000 0.500 0.250 x4
2 Co 0.000 0.000 0.141 x4
3 Ag 0.000 0.000 0.500 x2

***

Entry 6:
A relaxed KCoAg2 crystal. Source: Alexandria via LeMat-Bulk, functional GGA-PBE.

Results
The value obtained for the density of states at the Fermi level is 9.0 states/eV per cell. As for the energy of formation from the pure elements: 619 meV per atom. The value obtained for the total magnetization is 1.68 μB/f.u. Its total energy is -2.86 eV/atom.

Lattice parameters (Å, degrees): 2.830 5.404 11.022 90.00 90.00 90.00
Space group Imm2 (No. 44)
Unique sites:
1 K 0.000 0.000 0.000 x2
2 Co 0.000 0.500 0.225 x2
3 Ag 0.000 0.000 0.521 x2
4 Ag 0.000 0.500 0.787 x2

***

Entry 7:
A relaxed K2CoAg crystal. Source: Alexandria via LeMat-Bulk, functional GGA-PBE.

Results
The value obtained for the density of states at the Fermi level is 11.7 states/eV per cell. As for the energy of formation from the pure elements: 895 meV per atom. The value obtained for the total magnetization is 1.84 μB/f.u. Its total energy is -2.14 eV/atom.

Lattice parameters (Å, degrees): 3.3772 3.3772 32.7535 90.00 90.00 120.00
Space group R-3m (No. 166, hexagonal axes)
Unique sites:
1 K 0.0000 0.0000 0.2480 x6
2 Co 0.0000 0.0000 0.5000 x3
3 Ag 0.0000 0.0000 0.0000 x3

***

Entry 8:
A relaxed K2CoAg crystal. Source: Alexandria via LeMat-Bulk, functional GGA-PBE.

Results
The value obtained for the density of states at the Fermi level is 10.3 states/eV per cell. As for the energy of formation from the pure elements: 613 meV per atom. The value obtained for the total magnetization is 1.68 μB/f.u. Its total energy is -2.42 eV/atom.

Lattice parameters (Å, degrees): 4.709 5.147 11.577 90.00 90.00 90.00
Space group Amm2 (No. 38)
Unique sites:
1 K 0.000 0.000 0.000 x2
2 K 0.500 0.000 0.297 x2
3 Co 0.500 0.000 0.612 x2
4 Ag 0.000 0.000 0.690 x2